10
Lattice="3.604 0.000 0.000 0.000 3.604 0.000 0.000 0.000 20.222" Properties=species:S:1:pos:R:3 comment="Ho5Tl4Au, relaxed, DFT PBE" formation_enthalpy_0k_ev_per_atom=-0.4528 space_group="P4/mmm (123)" vol_a3_per_atom=26.3 pbc="T T T"
Ho 0.000 0.000 0.000
Ho 0.000 0.000 4.177
Ho 0.000 0.000 8.365
Ho 0.000 0.000 11.857
Ho 0.000 0.000 16.044
Tl 1.802 1.802 2.085
Tl 1.802 1.802 6.246
Tl 1.802 1.802 13.976
Tl 1.802 1.802 18.136
Au 1.802 1.802 10.111